(1)
DFT (PBE) results for crystalline UAgBi2 at its relaxed geometry.

abc: 4.018 4.018 6.742
angles: 90.00 90.00 90.00
Fractional positions:
U: 0.000 0.000 0.000
Ag: 0.000 0.000 0.500
Bi: 0.500 0.500 0.252
Bi: 0.500 0.500 0.748

Properties
- SG: P4/mmm
- Formation enthalpy at 0 K: 210 meV per atom

(2)
DFT (PBE) results for crystalline Tb4CeDy2 at its relaxed geometry.

abc: 6.197 3.574 20.170
angles: 90.00 96.04 90.00
Fractional positions:
Tb: 0.000 0.000 0.000
Tb: 0.023 0.500 0.569
Tb: 0.094 0.000 0.285
Tb: 0.119 0.500 0.857
Tb: 0.500 0.500 0.000
Tb: 0.523 0.000 0.569
Tb: 0.594 0.500 0.285
Tb: 0.619 0.000 0.857
Ce: 0.399 0.500 0.713
Ce: 0.899 0.000 0.713
Dy: 0.217 0.500 0.142
Dy: 0.306 0.500 0.427
Dy: 0.717 0.000 0.142
Dy: 0.806 0.000 0.427

Properties
- Energy relative to the lowest polymorph listed for this composition: 0.000 eV per atom
- SG: Cm
- Formation enthalpy at 0 K: 39 meV per atom

(3)
DFT (PBE) results for crystalline Na2HgS2 at its relaxed geometry.

abc: 5.227 5.227 8.998
angles: 90.00 90.00 90.00
Fractional positions:
Na: 0.000 0.500 0.250
Na: 0.000 0.500 0.750
Na: 0.500 0.000 0.250
Na: 0.500 0.000 0.750
Hg: 0.000 0.000 0.000
Hg: 0.500 0.500 0.500
S: 0.000 0.000 0.382
S: 0.000 0.000 0.618
S: 0.500 0.500 0.118
S: 0.500 0.500 0.882

Properties
- Energy relative to the lowest polymorph listed for this composition: 0.145 eV per atom
- SG: I4/mmm
- Formation energy without anion corrections: -60 kJ per mole of atoms

(4)
DFT (PBE) results for crystalline SrTeSe2 at its relaxed geometry.

abc: 7.659 7.659 7.659
angles: 90.00 90.00 90.00
Fractional positions:
Sr: 0.000 0.000 0.000
Sr: 0.000 0.500 0.500
Sr: 0.500 0.000 0.500
Sr: 0.500 0.500 0.000
Te: 0.250 0.250 0.250
Te: 0.250 0.750 0.750
Te: 0.750 0.250 0.750
Te: 0.750 0.750 0.250
Se: 0.000 0.000 0.500
Se: 0.000 0.500 0.000
Se: 0.250 0.250 0.750
Se: 0.250 0.750 0.250
Se: 0.500 0.000 0.000
Se: 0.500 0.500 0.500
Se: 0.750 0.250 0.250
Se: 0.750 0.750 0.750

Properties
- SG: F-43m
- Formation energy without anion corrections: -32 kJ per mole of atoms

(5)
DFT (PBE) results for crystalline HfCdCl2 at its relaxed geometry.

abc: 3.226 3.226 32.186
angles: 90.00 90.00 120.00
Fractional positions:
Hf: 0.000 0.000 0.000
Hf: 0.333 0.667 0.667
Hf: 0.667 0.333 0.333
Cd: 0.000 0.000 0.500
Cd: 0.333 0.667 0.167
Cd: 0.667 0.333 0.833
Cl: 0.000 0.000 0.390
Cl: 0.000 0.000 0.610
Cl: 0.333 0.667 0.057
Cl: 0.333 0.667 0.276
Cl: 0.667 0.333 0.724
Cl: 0.667 0.333 0.943

Properties
- Energy relative to the lowest polymorph listed for this composition: 0.000 eV per atom
- SG: R-3m
- Formation energy without anion corrections: -93 kJ per mole of atoms

(6)
DFT (PBE) results for crystalline Ti7BiSb2H2 at its relaxed geometry.

abc: 4.041 4.041 12.016
angles: 99.62 99.62 89.99
Fractional positions:
Ti: 0.000 0.000 0.000
Ti: 0.096 0.596 0.193
Ti: 0.196 0.196 0.395
Ti: 0.404 0.904 0.807
Ti: 0.596 0.096 0.193
Ti: 0.804 0.804 0.605
Ti: 0.904 0.404 0.807
Bi: 0.500 0.500 0.000
Sb: 0.318 0.318 0.634
Sb: 0.682 0.682 0.366
H: 0.086 0.086 0.173
H: 0.914 0.914 0.827

Properties
- SG: C2/m
- VASP energy: -6.5797 eV/atom

(7)
DFT (PBE) results for crystalline Ac4IrAu3 at its relaxed geometry.

abc: 7.841 9.034 7.741
angles: 90.00 109.43 90.00
Fractional positions:
Ac: 0.229 0.115 0.002
Ac: 0.229 0.885 0.502
Ac: 0.238 0.360 0.485
Ac: 0.238 0.640 0.985
Ac: 0.762 0.360 0.015
Ac: 0.762 0.640 0.515
Ac: 0.771 0.115 0.498
Ac: 0.771 0.885 0.998
Ir: 0.000 0.125 0.250
Ir: 0.000 0.875 0.750
Au: 0.000 0.377 0.750
Au: 0.000 0.623 0.250
Au: 0.500 0.126 0.750
Au: 0.500 0.380 0.250
Au: 0.500 0.620 0.750
Au: 0.500 0.874 0.250

Properties
- Energy relative to the lowest polymorph listed for this composition: 0.000 eV per atom
- SG: P2/c
- Formation enthalpy at 0 K: -798 meV per atom

(8)
DFT (PBE) results for crystalline Ba3Li2Pb5 at its relaxed geometry.

abc: 11.848 11.848 4.678
angles: 90.00 90.00 90.00
Fractional positions:
Ba: 0.000 0.000 0.000
Ba: 0.178 0.322 0.000
Ba: 0.322 0.822 0.000
Ba: 0.500 0.500 0.000
Ba: 0.678 0.178 0.000
Ba: 0.822 0.678 0.000
Li: 0.114 0.614 0.000
Li: 0.386 0.114 0.000
Li: 0.614 0.886 0.000
Li: 0.886 0.386 0.000
Pb: 0.000 0.500 0.500
Pb: 0.073 0.770 0.500
Pb: 0.230 0.073 0.500
Pb: 0.270 0.573 0.500
Pb: 0.427 0.270 0.500
Pb: 0.500 0.000 0.500
Pb: 0.573 0.730 0.500
Pb: 0.730 0.427 0.500
Pb: 0.770 0.927 0.500
Pb: 0.927 0.230 0.500

Properties
- SG: P4/mbm
- Formation enthalpy at 0 K: -471 meV per atom

no.,volume (Å³/cell),N(E_F) (states/eV per cell)
1,108.8,5.58
2,444.3,26.83
3,245.8,0.00
4,449.3,24.82
5,290.1,4.38
6,190.7,8.80
7,517.1,7.07
8,656.6,11.25